4
Lattice="2.990 0.000 0.000 0.000 4.775 0.000 -1.324 0.000 5.846" Properties=species:S:1:pos:R:3 comment="Zr2ScTa | Alexandria via LeMat-Bulk | SCAN | PBEsol geometry" sg=P2/m n_ef_per_ev_fu=5.8 dft_energy_ev_per_atom=-35.3806 delta_e_f_ev_per_atom=0.174 mass_density_g_cm3=8.123 pbc="T T T"
Zr 0.249 0.000 1.580
Zr 1.417 0.000 4.267
Sc 1.495 2.388 0.000
Ta -0.662 2.388 2.923